[1]
The following is a PBE+U calculation of a relaxed VRhPb2O6 crystal, from Alexandria.

Lattice parameters (Å, degrees): 5.521 5.521 4.271 90.00 90.00 90.00
Sites, in units of the cell vectors:
V (0.000, 0.000, 0.000)
Rh (0.500, 0.500, 0.051)
Pb (0.000, 0.500, 0.474)
Pb (0.500, 0.000, 0.474)
O (0.000, 0.000, 0.596)
O (0.238, 0.238, 0.083)
O (0.238, 0.762, 0.083)
O (0.500, 0.500, 0.554)
O (0.762, 0.238, 0.083)
O (0.762, 0.762, 0.083)

The magnetic moment comes out at 0.0 μB per formula unit. The electronic total energy is -64.0 eV per cell.



[2]
The following is a PBE+U calculation of a relaxed V2RhPbO8 crystal, from Alexandria.

Lattice parameters (Å, degrees): 5.560 5.560 6.837 90.00 90.00 120.00
Sites, in units of the cell vectors:
V (0.333, 0.667, 0.253)
V (0.667, 0.333, 0.747)
Rh (0.000, 0.000, 0.000)
Pb (0.000, 0.000, 0.500)
O (0.118, 0.317, 0.181)
O (0.199, 0.882, 0.181)
O (0.317, 0.199, 0.819)
O (0.333, 0.667, 0.497)
O (0.667, 0.333, 0.503)
O (0.683, 0.801, 0.181)
O (0.801, 0.118, 0.819)
O (0.882, 0.683, 0.819)

The magnetic moment comes out at 0.9 μB per formula unit. The electronic total energy is -82.4 eV per cell.



[3]
The following is a PBE+U calculation of a relaxed V2RhPbO6 crystal, from Alexandria.

Lattice parameters (Å, degrees): 7.777 7.777 6.298 112.20 112.20 68.21
Sites, in units of the cell vectors:
V (0.118, 0.327, 0.200)
V (0.327, 0.118, 0.700)
V (0.673, 0.882, 0.300)
V (0.882, 0.673, 0.800)
Rh (0.290, 0.710, 0.250)
Rh (0.710, 0.290, 0.750)
Pb (0.386, 0.614, 0.750)
Pb (0.614, 0.386, 0.250)
O (0.138, 0.623, 0.903)
O (0.174, 0.552, 0.330)
O (0.196, 0.223, 0.451)
O (0.223, 0.196, 0.951)
O (0.377, 0.862, 0.597)
O (0.448, 0.826, 0.170)
O (0.552, 0.174, 0.830)
O (0.623, 0.138, 0.403)
O (0.777, 0.804, 0.049)
O (0.804, 0.777, 0.549)
O (0.826, 0.448, 0.670)
O (0.862, 0.377, 0.097)

The magnetic moment comes out at 1.0 μB per formula unit. The electronic total energy is -139.0 eV per cell.



[4]
The following is a PBE+U calculation of a relaxed VRhPbO4 crystal, from Alexandria.

Lattice parameters (Å, degrees): 5.474 5.843 6.622 90.00 102.44 90.00
Sites, in units of the cell vectors:
V (0.238, 0.250, 0.132)
V (0.762, 0.750, 0.868)
Rh (0.254, 0.750, 0.963)
Rh (0.746, 0.250, 0.037)
Pb (0.247, 0.750, 0.448)
Pb (0.753, 0.250, 0.552)
O (0.034, 0.250, 0.875)
O (0.056, 0.250, 0.328)
O (0.442, 0.010, 0.197)
O (0.442, 0.490, 0.197)
O (0.558, 0.510, 0.803)
O (0.558, 0.990, 0.803)
O (0.944, 0.750, 0.672)
O (0.966, 0.750, 0.125)

The magnetic moment comes out at 0.0 μB per formula unit. The electronic total energy is -90.4 eV per cell.